[1]
# ErNb2Ge2Sb | the Open Quantum Materials Database | PBE | relaxed
data_ErNb2Ge2Sb
_chemical_formula_sum 'Er1 Nb2 Ge2 Sb1'
_symmetry_space_group_name_H-M 'P 4 m m'
_symmetry_Int_Tables_number 99
_cell_length_a 4.0628
_cell_length_b 4.0628
_cell_length_c 7.8303
_cell_angle_alpha 90.00
_cell_angle_beta 90.00
_cell_angle_gamma 90.00
loop_
_symmetry_equiv_pos_as_xyz
'x,y,z'
'-y,x,z'
'-x,-y,z'
'y,-x,z'
'-x,y,z'
'y,x,z'
'x,-y,z'
'-y,-x,z'
loop_
_atom_site_label
_atom_site_fract_x
_atom_site_fract_y
_atom_site_fract_z
Er1 0.0000 0.0000 0.0000
Nb1 0.0000 0.5000 0.3509
Ge1 0.0000 0.0000 0.6112
Ge2 0.5000 0.5000 0.1086
Sb1 0.5000 0.5000 0.6485
# - VASP energy (eV/atom) = -6.662
# - size of the total moment (Bohr magnetons per cell) = 0.01
# - crystal system = tetragonal



[2]
# PrB | the Open Quantum Materials Database | PBE | relaxed
data_PrB
_chemical_formula_sum 'Pr4 B4'
_symmetry_space_group_name_H-M 'F -4 3 m'
_symmetry_Int_Tables_number 216
_symmetry_space_group_name_Hall 'F -4 2 3'
_cell_length_a 5.9773
_cell_length_b 5.9773
_cell_length_c 5.9773
_cell_angle_alpha 90.00
_cell_angle_beta 90.00
_cell_angle_gamma 90.00
loop_
_atom_site_label
_atom_site_fract_x
_atom_site_fract_y
_atom_site_fract_z
Pr1 0.0000 0.0000 0.0000
B1 0.2500 0.2500 0.2500
# - size of the total moment (Bohr magnetons per cell) = 0.11
# - crystal system = cubic
# - energy above the most stable polymorph in this dataset (meV per atom) = 387



[3]
# Lu2TcW | the Open Quantum Materials Database | PBE | relaxed
data_Lu2TcW
_chemical_formula_sum 'Lu8 Tc4 W4'
_symmetry_space_group_name_H-M 'F -4 3 m'
_symmetry_Int_Tables_number 216
_symmetry_space_group_name_Hall 'F -4 2 3'
_cell_length_a 6.7516
_cell_length_b 6.7516
_cell_length_c 6.7516
_cell_angle_alpha 90.00
_cell_angle_beta 90.00
_cell_angle_gamma 90.00
loop_
_atom_site_label
_atom_site_fract_x
_atom_site_fract_y
_atom_site_fract_z
Lu1 0.0000 0.0000 0.0000
Lu2 0.2500 0.2500 0.2500
Tc1 0.0000 0.0000 0.5000
W1 0.2500 0.2500 0.7500
# - VASP energy (eV/atom) = -7.776
# - size of the total moment (Bohr magnetons per cell) = 0.01
# - crystal system = cubic



[4]
# ZrScTeC | the Open Quantum Materials Database | PBE | relaxed
data_ZrScTeC
_chemical_formula_sum 'Zr2 Sc2 Te2 C2'
_symmetry_space_group_name_H-M 'P -6 m 2'
_symmetry_Int_Tables_number 187
_symmetry_space_group_name_Hall 'P -6 2'
_cell_length_a 3.5402
_cell_length_b 3.5402
_cell_length_c 13.4213
_cell_angle_alpha 90.00
_cell_angle_beta 90.00
_cell_angle_gamma 120.00
loop_
_atom_site_label
_atom_site_fract_x
_atom_site_fract_y
_atom_site_fract_z
Zr1 0.0000 0.0000 0.1620
Sc1 0.3333 0.6667 0.3400
Te1 0.0000 0.0000 0.5000
Te2 0.3333 0.6667 0.0000
C1 0.6667 0.3333 0.2494
# - size of the total moment (Bohr magnetons per cell) = 0.01
# - crystal system = hexagonal
# - energy above the most stable polymorph in this dataset (meV per atom) = 12



[5]
# PIrSe4 | the Open Quantum Materials Database | PBE | relaxed
data_PIrSe4
_chemical_formula_sum 'P2 Ir2 Se8'
_symmetry_space_group_name_H-M 'P -1'
_symmetry_Int_Tables_number 2
_cell_length_a 6.6238
_cell_length_b 6.7473
_cell_length_c 11.0231
_cell_angle_alpha 97.13
_cell_angle_beta 100.65
_cell_angle_gamma 118.85
loop_
_symmetry_equiv_pos_as_xyz
'x,y,z'
'-x,-y,-z'
loop_
_atom_site_label
_atom_site_fract_x
_atom_site_fract_y
_atom_site_fract_z
P1 0.1367 0.3820 0.2498
Ir1 0.3637 0.1187 0.7506
Se1 0.0004 0.1867 0.3993
Se2 0.2074 0.9023 0.9000
Se3 0.2504 0.7653 0.2778
Se4 0.4979 0.5227 0.7784
# - VASP energy (eV/atom) = -4.666
# - size of the total moment (Bohr magnetons per cell) = 0.00
# - crystal system = triclinic



[6]
# Pm6DySe8 | the Open Quantum Materials Database | PBE | relaxed
data_Pm6DySe8
_chemical_formula_sum 'Pm24 Dy4 Se32'
_symmetry_space_group_name_H-M 'F m -3 m'
_symmetry_Int_Tables_number 225
_symmetry_space_group_name_Hall '-F 4 2 3'
_cell_length_a 11.7911
_cell_length_b 11.7911
_cell_length_c 11.7911
_cell_angle_alpha 90.00
_cell_angle_beta 90.00
_cell_angle_gamma 90.00
loop_
_atom_site_label
_atom_site_fract_x
_atom_site_fract_y
_atom_site_fract_z
Pm1 0.0000 0.2500 0.2500
Dy1 0.0000 0.0000 0.0000
Se1 0.0000 0.0000 0.2475
Se2 0.2500 0.2500 0.2500
# - VASP energy (eV/atom) = -5.945
# - size of the total moment (Bohr magnetons per cell) = 0.04
# - crystal system = cubic



[7]
# AcZnPt | the Open Quantum Materials Database | PBE | relaxed
data_AcZnPt
_chemical_formula_sum 'Ac4 Zn4 Pt4'
_symmetry_space_group_name_H-M 'F -4 3 m'
_symmetry_Int_Tables_number 216
_symmetry_space_group_name_Hall 'F -4 2 3'
_cell_length_a 6.9155
_cell_length_b 6.9155
_cell_length_c 6.9155
_cell_angle_alpha 90.00
_cell_angle_beta 90.00
_cell_angle_gamma 90.00
loop_
_atom_site_label
_atom_site_fract_x
_atom_site_fract_y
_atom_site_fract_z
Ac1 0.0000 0.0000 0.0000
Zn1 0.0000 0.0000 0.5000
Pt1 0.2500 0.2500 0.2500
# - size of the total moment (Bohr magnetons per cell) = 0.02
# - crystal system = cubic
# - energy above the most stable polymorph in this dataset (meV per atom) = 172



[8]
# MgScInNi | the Open Quantum Materials Database | PBE | relaxed
data_MgScInNi
_chemical_formula_sum 'Mg4 Sc4 In4 Ni4'
_symmetry_space_group_name_H-M 'F -4 3 m'
_symmetry_Int_Tables_number 216
_symmetry_space_group_name_Hall 'F -4 2 3'
_cell_length_a 6.6451
_cell_length_b 6.6451
_cell_length_c 6.6451
_cell_angle_alpha 90.00
_cell_angle_beta 90.00
_cell_angle_gamma 90.00
loop_
_atom_site_label
_atom_site_fract_x
_atom_site_fract_y
_atom_site_fract_z
Mg1 0.0000 0.0000 0.0000
Sc1 0.0000 0.0000 0.5000
In1 0.2500 0.2500 0.2500
Ni1 0.2500 0.2500 0.7500
# - size of the total moment (Bohr magnetons per cell) = 0.01
# - crystal system = cubic
# - energy above the most stable polymorph in this dataset (meV per atom) = 20



[9]
# KPIrO | the Open Quantum Materials Database | PBE | relaxed
data_KPIrO
_chemical_formula_sum 'K2 P2 Ir2 O2'
_symmetry_space_group_name_H-M 'P 4/n m m'
_symmetry_Int_Tables_number 129
_cell_length_a 3.9055
_cell_length_b 3.9055
_cell_length_c 10.8070
_cell_angle_alpha 90.00
_cell_angle_beta 90.00
_cell_angle_gamma 90.00
loop_
_symmetry_equiv_pos_as_xyz
'x,y,z'
'-x,-y,-z'
'-y+1/2,x,z'
'y+1/2,-x,-z'
'-x+1/2,-y+1/2,z'
'x+1/2,y+1/2,-z'
'y,-x+1/2,z'
'-y,x+1/2,-z'
'x+1/2,-y,-z'
'-x+1/2,y,z'
'-y,-x,-z'
'y,x,z'
'-x,y+1/2,-z'
'x,-y+1/2,z'
'y+1/2,x+1/2,-z'
'-y+1/2,-x+1/2,z'
loop_
_atom_site_label
_atom_site_fract_x
_atom_site_fract_y
_atom_site_fract_z
K1 0.2500 0.2500 0.1551
P1 0.2500 0.2500 0.6205
Ir1 0.2500 0.7500 0.5000
O1 0.2500 0.7500 0.0000
# - size of the total moment (Bohr magnetons per cell) = 0.00
# - crystal system = tetragonal
# - energy above the most stable polymorph in this dataset (meV per atom) = 94



[10]
# Pr3Mg3Tl2Pd | the Open Quantum Materials Database | PBE | relaxed
data_Pr3Mg3Tl2Pd
_chemical_formula_sum 'Pr3 Mg3 Tl2 Pd1'
_symmetry_space_group_name_H-M 'P -6 2 m'
_symmetry_Int_Tables_number 189
_symmetry_space_group_name_Hall 'P -6 -2'
_cell_length_a 7.7322
_cell_length_b 7.7322
_cell_length_c 4.6005
_cell_angle_alpha 90.00
_cell_angle_beta 90.00
_cell_angle_gamma 120.00
loop_
_atom_site_label
_atom_site_fract_x
_atom_site_fract_y
_atom_site_fract_z
Pr1 0.0000 0.5976 0.0000
Mg1 0.0000 0.2288 0.5000
Tl1 0.3333 0.6667 0.5000
Pd1 0.0000 0.0000 0.0000
# - VASP energy (eV/atom) = -3.652
# - size of the total moment (Bohr magnetons per cell) = 0.05
# - crystal system = hexagonal



[11]
# Gd5BiIr2 | the Open Quantum Materials Database | PBE | relaxed
data_Gd5BiIr2
_chemical_formula_sum 'Gd20 Bi4 Ir8'
_symmetry_space_group_name_H-M 'I 4/m c m'
_symmetry_Int_Tables_number 140
_symmetry_space_group_name_Hall '-I 4 2c'
_cell_length_a 7.8906
_cell_length_b 7.8906
_cell_length_c 13.7152
_cell_angle_alpha 90.00
_cell_angle_beta 90.00
_cell_angle_gamma 90.00
loop_
_atom_site_label
_atom_site_fract_x
_atom_site_fract_y
_atom_site_fract_z
Gd1 0.0000 0.0000 0.0000
Gd2 0.1571 0.3429 0.1317
Bi1 0.0000 0.0000 0.2500
Ir1 0.1398 0.3602 0.5000
# - VASP energy (eV/atom) = -6.377
# - size of the total moment (Bohr magnetons per cell) = 0.04
# - crystal system = tetragonal



[12]
# GdSn | the Open Quantum Materials Database | PBE | relaxed
data_GdSn
_chemical_formula_sum 'Gd4 Sn4'
_symmetry_space_group_name_H-M 'F m -3 m'
_symmetry_Int_Tables_number 225
_symmetry_space_group_name_Hall '-F 4 2 3'
_cell_length_a 6.2517
_cell_length_b 6.2517
_cell_length_c 6.2517
_cell_angle_alpha 90.00
_cell_angle_beta 90.00
_cell_angle_gamma 90.00
loop_
_atom_site_label
_atom_site_fract_x
_atom_site_fract_y
_atom_site_fract_z
Gd1 0.0000 0.0000 0.0000
Sn1 0.0000 0.0000 0.5000
# - VASP energy (eV/atom) = -4.855
# - size of the total moment (Bohr magnetons per cell) = 0.01
# - crystal system = cubic



> The highest size of the total moment belongs to which entry?

PrB



Please write out number 1 again, unchanged.
# ErNb2Ge2Sb | the Open Quantum Materials Database | PBE | relaxed
data_ErNb2Ge2Sb
_chemical_formula_sum 'Er1 Nb2 Ge2 Sb1'
_symmetry_space_group_name_H-M 'P 4 m m'
_symmetry_Int_Tables_number 99
_cell_length_a 4.0628
_cell_length_b 4.0628
_cell_length_c 7.8303
_cell_angle_alpha 90.00
_cell_angle_beta 90.00
_cell_angle_gamma 90.00
loop_
_symmetry_equiv_pos_as_xyz
'x,y,z'
'-y,x,z'
'-x,-y,z'
'y,-x,z'
'-x,y,z'
'y,x,z'
'x,-y,z'
'-y,-x,z'
loop_
_atom_site_label
_atom_site_fract_x
_atom_site_fract_y
_atom_site_fract_z
Er1 0.0000 0.0000 0.0000
Nb1 0.0000 0.5000 0.3509
Ge1 0.0000 0.0000 0.6112
Ge2 0.5000 0.5000 0.1086
Sb1 0.5000 0.5000 0.6485
# - VASP energy (eV/atom) = -6.662
# - size of the total moment (Bohr magnetons per cell) = 0.01
# - crystal system = tetragonal